(1)
TlAs: optimized geometry, PBE-GGA.

Cell: 5.0140 5.4630 8.3210 Å, 90.00 90.00 90.00°
Last column: nearest neighbours and their distance in Å.
Element x y z (fractional)
Tl: 0.2500 0.7556 0.4092  6 As 3.04-3.27
Tl: 0.2500 0.2556 0.0908  6 As 3.04-3.27
Tl: 0.7500 0.2444 0.5908  6 As 3.04-3.27
Tl: 0.7500 0.7444 0.9092  6 As 3.04-3.27
As: 0.7500 0.0380 0.2520  2 As 2.73, 1 Tl 3.04
As: 0.2500 0.4620 0.7520  2 As 2.73, 1 Tl 3.04
As: 0.7500 0.5380 0.2480  2 As 2.73, 1 Tl 3.04
As: 0.2500 0.9620 0.7480  2 As 2.73, 1 Tl 3.04

Output
Symmetry = Pnma, No. 62
Total energy = -3.312 eV/atom

***

(2)
TlAs: optimized geometry, PBE-GGA.

Cell: 5.2090 5.2090 5.2090 Å, 60.00 60.00 60.00°
Last column: nearest neighbours and their distance in Å.
Element x y z (fractional)
As: 0.0000 0.0000 0.0000  4 Tl 3.19, 4 As 3.19
As: 0.2500 0.2500 0.2500  4 Tl 3.19, 4 As 3.19
Tl: 0.7500 0.7500 0.7500  4 Tl 3.19, 4 As 3.19
Tl: 0.5000 0.5000 0.5000  4 Tl 3.19, 4 As 3.19

Output
Symmetry = Fd-3m, No. 227
Total energy = -3.215 eV/atom

***

(3)
TlAs2: optimized geometry, PBE-GGA.

Cell: 7.7522 7.7522 5.9370 Å, 90.00 90.00 153.13°
Last column: nearest neighbours and their distance in Å.
Element x y z (fractional)
As: 0.4032 0.5968 0.0000  2 As 2.46
As: 0.0143 0.9857 0.0000  2 As 2.46
As: 0.3745 0.6255 0.5000  2 As 2.46
As: 0.7635 0.2365 0.5000  2 As 2.46
Tl: 0.0706 0.9294 0.5000  4 As 3.09-3.42
Tl: 0.7072 0.2928 0.0000  4 As 3.09-3.42

Output
Symmetry = Cmcm, No. 63
Total energy = -3.858 eV/atom

***

(4)
Tl5As: optimized geometry, PBE-GGA.

Cell: 6.4282 6.4282 6.4282 Å, 60.00 60.00 60.00°
Last column: nearest neighbours and their distance in Å.
Element x y z (fractional)
Tl: 0.6257 0.6257 0.1230  6 Tl 3.20-3.23
Tl: 0.6257 0.1230 0.6257  6 Tl 3.20-3.23
Tl: 0.6257 0.6257 0.6257  6 Tl 3.20-3.23
Tl: 0.2500 0.2500 0.2500  12 Tl 3.77, 4 As 3.94
Tl: 0.1230 0.6257 0.6257  6 Tl 3.20-3.23
As: 0.0000 0.0000 0.0000  16 Tl 3.77-3.94

Output
Symmetry = F-43m, No. 216
Polymorph energy (0 for the lowest one) = 213 meV per atom